Entry 1:
A relaxed structure of TlC2Br, computed with GGA-PBEsol.

Geometry as CIF:
```
data_TlC2Br
_chemical_formula_sum 'Tl4 C8 Br4'
_space_group_name_H-M_alt 'I -4 2 d'
_space_group_IT_number 122
_space_group_name_Hall 'I -4 2bw'
_cell_length_a 4.954
_cell_length_b 4.954
_cell_length_c 11.457
_cell_angle_alpha 90.00
_cell_angle_beta 90.00
_cell_angle_gamma 90.00
loop_
_atom_site_label
_atom_site_fract_x
_atom_site_fract_y
_atom_site_fract_z
Tl1 0.000 0.000 0.000
C1 0.229 0.250 0.625
Br1 0.000 0.000 0.500
```

Results
- ΔE_f (raw) (meV/atom) = 2362
- DOS(E_F) (states/eV/cell) = 12.08
- total DFT energy (no corrections) (eV/atom) = -3.5852
- calculated volume (Å³/atom) = 17.6

Entry 2:
A relaxed structure of SnS16I4, computed with GGA-PBEsol.

Geometry as CIF:
```
data_SnS16I4
_chemical_formula_sum 'Sn8 S128 I32'
_space_group_name_H-M_alt 'F d d 2'
_space_group_IT_number 43
_space_group_name_Hall 'F 2 -2d'
_cell_length_a 21.095
_cell_length_b 21.283
_cell_length_c 11.275
_cell_angle_alpha 90.00
_cell_angle_beta 90.00
_cell_angle_gamma 90.00
loop_
_atom_site_label
_atom_site_fract_x
_atom_site_fract_y
_atom_site_fract_z
Sn1 0.000 0.000 0.000
S1 0.003 0.405 0.136
S2 0.010 0.348 0.282
S3 0.016 0.353 0.985
S4 0.071 0.170 0.418
S5 0.079 0.178 0.833
S6 0.094 0.259 0.469
S7 0.098 0.006 0.365
S8 0.098 0.266 0.766
I1 0.002 0.396 0.636
I2 0.105 0.002 0.865
```

Results
- ΔE_f (raw) (meV/atom) = -72
- total DFT energy (no corrections) (eV/atom) = -3.9513
- calculated volume (Å³/atom) = 30.1

Entry 3:
A relaxed structure of InAs2IBr, computed with GGA-PBEsol.

Geometry as CIF:
```
data_InAs2IBr
_chemical_formula_sum 'In1 As2 I1 Br1'
_space_group_name_H-M_alt 'P 4/m m m'
_space_group_IT_number 123
_space_group_name_Hall '-P 4 2'
_cell_length_a 5.352
_cell_length_b 5.352
_cell_length_c 5.698
_cell_angle_alpha 90.00
_cell_angle_beta 90.00
_cell_angle_gamma 90.00
loop_
_atom_site_label
_atom_site_fract_x
_atom_site_fract_y
_atom_site_fract_z
In1 0.000 0.000 0.000
As1 0.000 0.500 0.500
I1 0.500 0.500 0.500
Br1 0.500 0.500 0.000
```

Results
- ΔE_f (raw) (meV/atom) = 796
- DOS(E_F) (states/eV/cell) = 6.03
- total DFT energy (no corrections) (eV/atom) = -2.5701
- calculated volume (Å³/atom) = 32.6

Entry 4:
A relaxed structure of ZrSc5, computed with GGA-PBEsol.

Geometry as CIF:
```
data_ZrSc5
_chemical_formula_sum 'Zr1 Sc5'
_space_group_name_H-M_alt 'P -6 2 m'
_space_group_IT_number 189
_space_group_name_Hall 'P -6 -2'
_cell_length_a 5.6373
_cell_length_b 5.6373
_cell_length_c 5.0443
_cell_angle_alpha 90.00
_cell_angle_beta 90.00
_cell_angle_gamma 120.00
loop_
_atom_site_label
_atom_site_fract_x
_atom_site_fract_y
_atom_site_fract_z
Zr1 0.0000 0.0000 0.0000
Sc1 0.0000 0.6751 0.5000
Sc2 0.3333 0.6667 0.0000
```

Results
- DOS(E_F) (states/eV/cell) = 10.62
- total DFT energy (no corrections) (eV/atom) = -7.0218
- formation energy (eV per atom) = 0.00
- calculated volume (Å³/atom) = 23.1

Entry 5:
A relaxed structure of AlCu4Si, computed with GGA-PBEsol.

Geometry as CIF:
```
data_AlCu4Si
_chemical_formula_sum 'Al4 Cu16 Si4'
_space_group_name_H-M_alt 'C m c m'
_space_group_IT_number 63
_space_group_name_Hall '-C 2c 2'
_cell_length_a 3.536
_cell_length_b 17.226
_cell_length_c 4.962
_cell_angle_alpha 90.00
_cell_angle_beta 90.00
_cell_angle_gamma 90.00
loop_
_atom_site_label
_atom_site_fract_x
_atom_site_fract_y
_atom_site_fract_z
Al1 0.000 0.228 0.250
Cu1 0.000 0.075 0.250
Cu2 0.000 0.352 0.001
Cu3 0.000 0.500 0.000
Si1 0.000 0.078 0.750
```

Results
- ΔE_f (raw) (meV/atom) = -109
- DOS(E_F) (states/eV/cell) = 6.95
- total DFT energy (no corrections) (eV/atom) = -4.6381
- calculated volume (Å³/atom) = 12.6

Entry 6:
A relaxed structure of BaSrZn2, computed with GGA-PBEsol.

Geometry as CIF:
```
data_BaSrZn2
_chemical_formula_sum 'Ba3 Sr3 Zn6'
_space_group_name_H-M_alt 'R 3 m'
_space_group_IT_number 160
_space_group_name_Hall 'R 3 -2"'
_cell_length_a 4.5338
_cell_length_b 4.5338
_cell_length_c 23.5547
_cell_angle_alpha 90.00
_cell_angle_beta 90.00
_cell_angle_gamma 120.00
loop_
_atom_site_label
_atom_site_fract_x
_atom_site_fract_y
_atom_site_fract_z
Ba1 0.0000 0.0000 0.0000
Sr1 0.0000 0.0000 0.8279
Zn1 0.0000 0.0000 0.2428
Zn2 0.0000 0.0000 0.5758
```

Results
- DOS(E_F) (states/eV/cell) = 7.98
- total DFT energy (no corrections) (eV/atom) = -1.9487
- formation energy (eV per atom) = -0.16
- calculated volume (Å³/atom) = 34.9